[1]
BaLuIn after structural relaxation. Source: Alexandria via LeMat-Bulk, functional PBE-GGA.

Structure (CIF):
```
data_BaLuIn
_space_group_name_H-M_alt 'I 4 m m'
_space_group_IT_number 107
_space_group_name_Hall 'I 4 -2'
_cell_length_a 3.950
_cell_length_b 3.950
_cell_length_c 13.787
_cell_angle_alpha 90.00
_cell_angle_beta 90.00
_cell_angle_gamma 90.00
loop_
_atom_site_label
_atom_site_type_symbol
_atom_site_fract_x
_atom_site_fract_y
_atom_site_fract_z
_atom_site_occupancy
Ba1 Ba 0.000 0.000 0.000 1
Lu1 Lu 0.000 0.000 0.283 1
In1 In 0.000 0.000 0.681 1
```

As for the crystal system: tetragonal. The calculation puts the raw total energy at -0.1180 hartree per atom. For the calculated density, the calculation gives 6.6 Mg/m³.

[2]
BaLuIn after structural relaxation. Source: Alexandria via LeMat-Bulk, functional PBE-GGA.

Structure (CIF):
```
data_BaLuIn
_space_group_name_H-M_alt 'P -6 m 2'
_space_group_IT_number 187
_space_group_name_Hall 'P -6 2'
_cell_length_a 5.4882
_cell_length_b 5.4882
_cell_length_c 4.1358
_cell_angle_alpha 90.00
_cell_angle_beta 90.00
_cell_angle_gamma 120.00
loop_
_atom_site_label
_atom_site_type_symbol
_atom_site_fract_x
_atom_site_fract_y
_atom_site_fract_z
_atom_site_occupancy
Ba1 Ba 0.0000 0.0000 0.0000 1
Lu1 Lu 0.3333 0.6667 0.5000 1
In1 In 0.6667 0.3333 0.5000 1
```

As for the crystal system: hexagonal. The calculation puts the raw total energy at -0.1156 hartree per atom. For the calculated density, the calculation gives 6.6 Mg/m³.

Asked for offset from the most stable computed form across the records above, the calculation gives 0.0; 6.4 kJ per mole of atoms in order.
Asked for total moment across the records above, the calculation gives 0.00; 0.00 μB/f.u. in order.
Asked for energy relative to the elements across the records above, the calculation gives -14.54; -8.09 kJ/mol of atoms in order.